## ScSeN2 (PBE)

Data for an optimized crystal structure of ScSeN2. Values from VASP.

Properties
ΔE_f (raw)	-19	kJ per mole of atoms
total magnetization	0.0	μB per cell
SG	R-3m (166)
mass density	4.46	Mg/m³
electronic total energy	-6.81	eV/atom

Quantum ESPRESSO input file:
```
&SYSTEM
  ibrav = 0, nat = 4, ntyp = 3
/
ATOMIC_SPECIES
Sc 44.96 Sc.upf
Se 78.96 Se.upf
N 14.01 N.upf
ATOMIC_POSITIONS crystal
Sc 0.500 0.500 0.500
Se 0.000 0.000 0.000
N 0.896 0.896 0.896
N 0.104 0.104 0.104
CELL_PARAMETERS angstrom
1.895 0.000 6.064
-0.947 1.641 6.064
-0.947 -1.641 6.064
```

## MgBW3 (PBE)

Data for an optimized crystal structure of MgBW3. Values from VASP.

Properties
total magnetization	0.0	μB per cell
SG	Pm-3m (221)
mass density	12.67	Mg/m³
electronic total energy	-8.97	eV/atom
formation energy	43.72	kJ per mole of atoms

Quantum ESPRESSO input file:
```
&SYSTEM
  ibrav = 0, nat = 5, ntyp = 3
/
ATOMIC_SPECIES
Mg 24.30 Mg.upf
B 10.81 B.upf
W 183.84 W.upf
ATOMIC_POSITIONS crystal
Mg 0.500 0.500 0.500
B 0.000 0.000 0.000
W 0.000 0.500 0.000
W 0.000 0.000 0.500
W 0.500 0.000 0.000
CELL_PARAMETERS angstrom
4.252 0.000 0.000
0.000 4.252 0.000
0.000 0.000 4.252
```

## Rb4N (PBE)

Data for an optimized crystal structure of Rb4N. Values from VASP.

Properties
ΔE_f (raw)	50	kJ per mole of atoms
total magnetization	1.1	μB per cell
SG	Pm-3m (221)
mass density	2.29	Mg/m³
electronic total energy	-1.92	eV/atom

Quantum ESPRESSO input file:
```
&SYSTEM
  ibrav = 0, nat = 5, ntyp = 2
/
ATOMIC_SPECIES
Rb 85.47 Rb.upf
N 14.01 N.upf
ATOMIC_POSITIONS crystal
Rb 0.000 0.000 0.000
Rb 0.500 0.000 0.500
Rb 0.000 0.500 0.500
Rb 0.500 0.500 0.000
N 0.500 0.500 0.500
CELL_PARAMETERS angstrom
-5.833 -0.862 -2.412
1.657 -5.845 -1.918
-1.954 -2.384 5.576
```

## Sm5CdIn (PBE)

Data for an optimized crystal structure of Sm5CdIn. Values from VASP.

Properties
total magnetization	0.0	μB per cell
SG	C2/c (15)
mass density	7.48	Mg/m³
electronic total energy	-3.98	eV/atom
formation energy	-8.27	kJ per mole of atoms

Quantum ESPRESSO input file:
```
&SYSTEM
  ibrav = 0, nat = 14, ntyp = 3
/
ATOMIC_SPECIES
Sm 150.36 Sm.upf
Cd 112.41 Cd.upf
In 114.82 In.upf
ATOMIC_POSITIONS crystal
Sm 0.008 0.574 0.157
Sm 0.236 0.527 0.466
Sm 0.574 0.008 0.657
Sm 0.887 0.113 0.250
Sm 0.473 0.764 0.034
Sm 0.527 0.236 0.966
Sm 0.113 0.887 0.750
Sm 0.426 0.992 0.343
Sm 0.764 0.473 0.534
Sm 0.992 0.426 0.843
Cd 0.000 0.000 0.000
Cd 0.000 0.000 0.500
In 0.527 0.473 0.250
In 0.473 0.527 0.750
CELL_PARAMETERS angstrom
-3.470 -0.166 -5.143
-1.175 -5.972 1.215
-7.518 5.046 7.322
```

## TbCe2Tm3Se6 (PBE)

Data for an optimized crystal structure of TbCe2Tm3Se6. Values from VASP.

Properties
ΔE_f (raw)	-168	kJ per mole of atoms
total magnetization	2.3	μB per cell
SG	C2/m (12)
mass density	8.11	Mg/m³
electronic total energy	-5.98	eV/atom

Quantum ESPRESSO input file:
```
&SYSTEM
  ibrav = 0, nat = 12, ntyp = 4
/
ATOMIC_SPECIES
Tb 158.93 Tb.upf
Ce 140.12 Ce.upf
Tm 168.93 Tm.upf
Se 78.96 Se.upf
ATOMIC_POSITIONS crystal
Tb 0.500 0.000 0.000
Ce 0.832 0.664 0.665
Ce 0.168 0.336 0.335
Tm 0.500 0.500 0.000
Tm 0.832 0.167 0.665
Tm 0.168 0.833 0.335
Se 0.332 0.928 0.665
Se 0.662 0.593 0.325
Se 0.668 0.072 0.335
Se 0.996 0.253 0.992
Se 0.004 0.747 0.008
Se 0.338 0.407 0.675
CELL_PARAMETERS angstrom
4.046 0.000 0.000
0.000 8.283 0.194
-2.023 -2.493 8.619
```

## ScCdGe (PBE)

Data for an optimized crystal structure of ScCdGe. Values from VASP.

Properties
total magnetization	0.0	μB per cell
SG	P1 (1)
mass density	6.17	Mg/m³
electronic total energy	-4.39	eV/atom
formation energy	-42.18	kJ per mole of atoms

Quantum ESPRESSO input file:
```
&SYSTEM
  ibrav = 0, nat = 6, ntyp = 3
/
ATOMIC_SPECIES
Sc 44.96 Sc.upf
Cd 112.41 Cd.upf
Ge 72.64 Ge.upf
ATOMIC_POSITIONS crystal
Sc 0.048 0.066 0.303
Sc 0.708 0.231 0.636
Cd 0.399 0.880 0.924
Cd 0.951 0.430 0.026
Ge 0.180 0.702 0.578
Ge 0.563 0.582 0.335
CELL_PARAMETERS angstrom
3.786 0.000 0.006
0.000 4.127 0.000
-1.788 -2.041 7.926
```

## PmIn4PbS8 (PBE)

Data for an optimized crystal structure of PmIn4PbS8. Values from VASP.

Properties
ΔE_f (raw)	-71	kJ per mole of atoms
total magnetization	0.0	μB per cell
SG	R3m (160)
mass density	4.73	Mg/m³
electronic total energy	-4.48	eV/atom

Quantum ESPRESSO input file:
```
&SYSTEM
  ibrav = 0, nat = 14, ntyp = 4
/
ATOMIC_SPECIES
Pm 145.00 Pm.upf
In 114.82 In.upf
Pb 207.20 Pb.upf
S 32.06 S.upf
ATOMIC_POSITIONS crystal
Pm 0.001 0.001 0.998
In 0.627 0.627 0.120
In 0.000 0.499 0.500
In 0.499 0.000 0.500
In 0.000 0.000 0.500
Pb 0.371 0.371 0.886
S 0.245 0.790 0.721
S 0.790 0.245 0.721
S 0.245 0.245 0.721
S 0.230 0.230 0.311
S 0.752 0.225 0.272
S 0.225 0.752 0.272
S 0.752 0.752 0.272
S 0.765 0.765 0.705
CELL_PARAMETERS angstrom
-6.498 -2.485 -3.853
-3.723 -6.625 2.344
-7.327 0.661 3.723
```

## NaLiAg2Cl8 (PBE)

Data for an optimized crystal structure of NaLiAg2Cl8. Values from VASP.

Properties
ΔE_f (raw)	-61	kJ per mole of atoms
total magnetization	0.0	μB per cell
SG	I-4 (82)
mass density	2.60	Mg/m³
electronic total energy	-2.61	eV/atom

Quantum ESPRESSO input file:
```
&SYSTEM
  ibrav = 0, nat = 12, ntyp = 4
/
ATOMIC_SPECIES
Na 22.99 Na.upf
Li 6.94 Li.upf
Ag 107.87 Ag.upf
Cl 35.45 Cl.upf
ATOMIC_POSITIONS crystal
Na 0.000 0.000 0.000
Li 0.750 0.250 0.500
Ag 0.500 0.500 0.000
Ag 0.250 0.750 0.500
Cl 0.641 0.821 0.008
Cl 0.367 0.187 0.008
Cl 0.564 0.589 0.507
Cl 0.943 0.918 0.507
Cl 0.082 0.436 0.493
Cl 0.411 0.057 0.493
Cl 0.179 0.633 0.992
Cl 0.813 0.359 0.992
CELL_PARAMETERS angstrom
6.742 0.000 0.000
0.000 6.742 0.000
-3.371 -3.371 7.431
```

## Ce5Rh4 (PBE)

Data for an optimized crystal structure of Ce5Rh4. Values from VASP.

Properties
total magnetization	10.5	μB per cell
SG	Pnma (62)
mass density	9.05	Mg/m³
electronic total energy	-7.23	eV/atom
formation energy	-64.27	kJ per mole of atoms

Quantum ESPRESSO input file:
```
&SYSTEM
  ibrav = 0, nat = 36, ntyp = 2
/
ATOMIC_SPECIES
Rh 102.91 Rh.upf
Ce 140.12 Ce.upf
ATOMIC_POSITIONS crystal
Rh 0.036 0.624 0.750
Rh 0.809 0.038 0.463
Rh 0.464 0.124 0.250
Rh 0.191 0.962 0.963
Rh 0.684 0.642 0.250
Rh 0.316 0.358 0.750
Rh 0.964 0.376 0.250
Rh 0.691 0.538 0.537
Rh 0.309 0.462 0.037
Rh 0.309 0.462 0.463
Rh 0.536 0.876 0.750
Rh 0.691 0.538 0.963
Rh 0.809 0.038 0.037
Rh 0.816 0.142 0.750
Rh 0.191 0.962 0.537
Rh 0.184 0.858 0.250
Ce 0.005 0.675 0.091
Ce 0.842 0.836 0.621
Ce 0.995 0.325 0.591
Ce 0.185 0.025 0.750
Ce 0.505 0.825 0.409
Ce 0.495 0.175 0.591
Ce 0.158 0.164 0.379
Ce 0.342 0.664 0.879
Ce 0.685 0.475 0.750
Ce 0.342 0.664 0.621
Ce 0.005 0.675 0.409
Ce 0.495 0.175 0.909
Ce 0.815 0.975 0.250
Ce 0.505 0.825 0.091
Ce 0.995 0.325 0.909
Ce 0.842 0.836 0.879
Ce 0.658 0.336 0.121
Ce 0.158 0.164 0.121
Ce 0.658 0.336 0.379
Ce 0.315 0.525 0.250
CELL_PARAMETERS angstrom
7.260 0.000 0.000
0.000 7.484 0.000
0.000 0.000 15.020
```

## KBaN2 (PBE)

Data for an optimized crystal structure of KBaN2. Values from VASP.

Properties
ΔE_f (raw)	120	kJ per mole of atoms
total magnetization	1.0	μB per cell
SG	R-3m (166)
mass density	2.65	Mg/m³
electronic total energy	-3.68	eV/atom

Quantum ESPRESSO input file:
```
&SYSTEM
  ibrav = 0, nat = 4, ntyp = 3
/
ATOMIC_SPECIES
K 39.10 K.upf
Ba 137.33 Ba.upf
N 14.01 N.upf
ATOMIC_POSITIONS crystal
K 0.500 0.500 0.500
Ba 0.000 0.000 0.000
N 0.905 0.905 0.905
N 0.095 0.095 0.095
CELL_PARAMETERS angstrom
6.399 -1.347 4.395
7.077 -3.425 0.509
7.774 0.966 0.840
```

## RbTaPt3 (PBE)

Data for an optimized crystal structure of RbTaPt3. Values from VASP.

Properties
total magnetization	0.0	μB per cell
SG	Pm-3m (221)
mass density	11.07	Mg/m³
electronic total energy	-5.78	eV/atom
formation energy	39.86	kJ per mole of atoms

Quantum ESPRESSO input file:
```
&SYSTEM
  ibrav = 0, nat = 5, ntyp = 3
/
ATOMIC_SPECIES
Rb 85.47 Rb.upf
Pt 195.08 Pt.upf
Ta 180.95 Ta.upf
ATOMIC_POSITIONS crystal
Rb 0.500 0.500 0.500
Pt 0.000 0.500 0.000
Pt 0.000 0.000 0.500
Pt 0.500 0.000 0.000
Ta 0.000 0.000 0.000
CELL_PARAMETERS angstrom
-0.697 -4.787 1.402
1.699 -1.559 -4.478
4.690 -0.147 1.831
```

## Pr3BiH (PBE)

Data for an optimized crystal structure of Pr3BiH. Values from VASP.

Properties
total magnetization	0.0	μB per cell
SG	P2_1/m (11)
mass density	7.51	Mg/m³
electronic total energy	-4.79	eV/atom

Quantum ESPRESSO input file:
```
&SYSTEM
  ibrav = 0, nat = 10, ntyp = 3
/
ATOMIC_SPECIES
Pr 140.91 Pr.upf
Bi 208.98 Bi.upf
H 1.01 H.upf
ATOMIC_POSITIONS crystal
Pr 0.750 0.590 0.350
Pr 0.250 0.410 0.650
Pr 0.750 0.234 0.908
Pr 0.250 0.899 0.621
Pr 0.250 0.766 0.092
Pr 0.750 0.101 0.379
Bi 0.250 0.277 0.162
Bi 0.750 0.723 0.838
H 0.250 0.833 0.357
H 0.750 0.167 0.643
CELL_PARAMETERS angstrom
-3.462 2.227 -0.637
-2.391 -4.905 -4.148
-3.626 -3.139 8.728
```

## Rb3Sm3ZrTe8 (PBE)

Data for an optimized crystal structure of Rb3Sm3ZrTe8. Values from VASP.

Properties
ΔE_f (raw)	-123	kJ per mole of atoms
total magnetization	0.0	μB per cell
SG	R-3m (166)
mass density	4.97	Mg/m³
electronic total energy	-4.66	eV/atom

Quantum ESPRESSO input file:
```
&SYSTEM
  ibrav = 0, nat = 15, ntyp = 4
/
ATOMIC_SPECIES
Rb 85.47 Rb.upf
Sm 150.36 Sm.upf
Zr 91.22 Zr.upf
Te 127.60 Te.upf
ATOMIC_POSITIONS crystal
Rb 0.000 0.000 0.000
Rb 0.000 0.500 0.000
Rb 0.500 0.500 0.000
Sm 0.500 0.000 0.500
Sm 0.500 0.500 0.500
Sm 0.000 0.500 0.500
Zr 0.000 0.000 0.500
Te 0.265 0.530 0.296
Te 0.735 0.470 0.704
Te 0.778 0.555 0.306
Te 0.222 0.445 0.694
Te 0.778 0.028 0.306
Te 0.222 0.972 0.694
Te 0.250 0.028 0.306
Te 0.750 0.972 0.694
CELL_PARAMETERS angstrom
8.946 0.000 0.000
-4.473 7.744 -0.036
0.000 -5.124 8.803
```

## PmGa6Pd4 (PBE)

Data for an optimized crystal structure of PmGa6Pd4. Values from VASP.

Properties
total magnetization	0.0	μB per cell
SG	P-6m2 (187)
mass density	8.55	Mg/m³
electronic total energy	-4.61	eV/atom
formation energy	-61.82	kJ per mole of atoms

Quantum ESPRESSO input file:
```
&SYSTEM
  ibrav = 0, nat = 11, ntyp = 3
/
ATOMIC_SPECIES
Pm 145.00 Pm.upf
Ga 69.72 Ga.upf
Pd 106.42 Pd.upf
ATOMIC_POSITIONS crystal
Pm 0.000 0.000 0.000
Ga 0.000 0.535 0.070
Ga 0.500 0.605 0.802
Ga 0.000 0.535 0.465
Ga 0.000 0.930 0.465
Ga 0.500 0.198 0.802
Ga 0.500 0.198 0.395
Pd 0.500 0.798 0.596
Pd 0.500 0.404 0.202
Pd 0.500 0.798 0.202
Pd 0.000 0.333 0.667
CELL_PARAMETERS angstrom
4.099 0.000 0.000
0.000 7.357 0.000
0.000 -3.678 6.371
```

## LaY2Ag2Pb2 (PBE)

Data for an optimized crystal structure of LaY2Ag2Pb2. Values from VASP.

Properties
total magnetization	0.0	μB per cell
SG	R-3m (166)
mass density	8.23	Mg/m³
electronic total energy	-4.78	eV/atom
formation energy	-34.47	kJ per mole of atoms

Quantum ESPRESSO input file:
```
&SYSTEM
  ibrav = 0, nat = 7, ntyp = 4
/
ATOMIC_SPECIES
La 138.91 La.upf
Y 88.91 Y.upf
Ag 107.87 Ag.upf
Pb 207.20 Pb.upf
ATOMIC_POSITIONS crystal
La 0.000 0.000 0.000
Y 0.135 0.135 0.596
Y 0.865 0.865 0.404
Ag 0.557 0.557 0.330
Ag 0.443 0.443 0.670
Pb 0.736 0.736 0.791
Pb 0.264 0.264 0.209
CELL_PARAMETERS angstrom
-4.669 1.593 -0.681
-3.555 -3.214 -1.353
-4.542 -2.155 7.888
```